First-principles (GGA-PBE) data for a relaxed structure of PmTlV, as listed in Alexandria.

abc: 4.2233 5.1623 7.2090
angles: 69.67 96.10 92.22
Closest atoms and distances in Å follow each position.
Sites, in units of the cell vectors:
V: 0.8059 0.0404 0.4121  1 V 1.93
V: 0.1941 0.9596 0.5879  1 V 1.93
Tl: 0.2322 0.5921 0.3330  2 Tl 3.04-3.13, 4 V 3.08-3.22, 3 Pm 3.14-3.28
Tl: 0.7678 0.4079 0.6670  2 Tl 3.04-3.13, 4 V 3.08-3.22, 3 Pm 3.14-3.28
Pm: 0.7277 0.7808 0.9305  2 V 3.07-3.18, 3 Tl 3.14-3.28, 1 Pm 3.33
Pm: 0.2723 0.2192 0.0695  2 V 3.07-3.18, 3 Tl 3.14-3.28, 1 Pm 3.33

The calculation puts the formation energy at 0.2672 eV per atom. The calculation puts the energy at -5.145 eV/atom. Its density of states at the Fermi level is 6.18 states/eV per cell. For the total magnetization, the calculation gives 0.00 μB per atom.

First-principles (GGA-PBE) data for a relaxed structure of LaScIr2, as listed in Alexandria.

abc: 3.2796 3.2796 7.3045
angles: 90.00 90.00 89.99
Closest atoms and distances in Å follow each position.
Sites, in units of the cell vectors:
Ir: 0.0000 0.0000 0.9652  4 Sc 2.80, 4 La 3.11-3.12
Ir: 0.0000 0.0000 0.5348  4 Sc 2.80, 4 La 3.11-3.12
La: 0.5000 0.5000 0.2500  8 Ir 3.11-3.12, 4 La 3.28
Sc: 0.5000 0.5000 0.7500  8 Ir 2.80

The calculation puts the formation energy at -0.7266 eV per atom. The calculation puts the energy at -7.972 eV/atom. Its density of states at the Fermi level is 1.65 states/eV per cell. For the total magnetization, the calculation gives 0.00 μB per atom.